(1)
The following is a PBEsol calculation of a relaxed Li2CdSb crystal, from the Alexandria database.

Results
As for the polymorph energy (0 for the lowest one): 0.000 eV/atom. The uncorrected energy is -2.837 eV/atom. Its space group is I4/mmm.

a = 4.5827 Å, b = 4.8488 Å, c = 4.5827 Å
α = 118.20°, β = 90.00°, γ = 118.20°
With the nearest neighbours (Å) after each atom.
Element x y z (fractional)
Sb 0.0000 0.0000 0.0000  8 Li 2.92, 4 Cd 3.24
Cd 0.5000 0.0000 0.5000  8 Li 2.92, 4 Sb 3.24
Li 0.7500 0.5000 0.2500  4 Sb 2.92, 4 Cd 2.92, 4 Li 3.24
Li 0.2500 0.5000 0.7500  4 Cd 2.92, 4 Sb 2.92, 4 Li 3.24



(2)
The following is a PBEsol calculation of a relaxed PW3 crystal, from the Alexandria database.

Results
As for the polymorph energy (0 for the lowest one): 0.505 eV/atom. The uncorrected energy is -11.474 eV/atom. Its space group is I4/mmm. The calculation puts the formation enthalpy at 0 K at 0.330 eV per atom.

a = 3.6528 Å, b = 3.6528 Å, c = 5.1087 Å
α = 110.95°, β = 110.95°, γ = 90.00°
With the nearest neighbours (Å) after each atom.
Element x y z (fractional)
P 0.0000 0.0000 0.0000  12 W 2.58-2.86
W 0.7500 0.2500 0.5000  8 W 2.58-2.86, 4 P 2.86
W 0.5000 0.5000 0.0000  4 P 2.58, 8 W 2.86
W 0.2500 0.7500 0.5000  8 W 2.58-2.86, 4 P 2.86



(3)
The following is a PBEsol calculation of a relaxed CaRhF2 crystal, from the Alexandria database.

Results
The uncorrected energy is -5.000 eV/atom. Its space group is Fm-3m.

a = 4.2035 Å, b = 4.2035 Å, c = 4.2035 Å
α = 60.00°, β = 60.00°, γ = 60.00°
With the nearest neighbours (Å) after each atom.
Element x y z (fractional)
Ca 0.0000 0.0000 0.0000  8 F 2.57
Rh 0.5000 0.5000 0.5000  8 F 2.57
F 0.2500 0.2500 0.2500  4 Rh 2.57, 4 Ca 2.57
F 0.7500 0.7500 0.7500  4 Ca 2.57, 4 Rh 2.57



(4)
The following is a PBEsol calculation of a relaxed Rb2LiPrF6 crystal, from the Alexandria database.

Results
The uncorrected energy is -5.340 eV/atom. Its space group is Fm-3m.

a = 6.1486 Å, b = 6.1486 Å, c = 6.1486 Å
α = 60.00°, β = 60.00°, γ = 60.00°
With the nearest neighbours (Å) after each atom.
Element x y z (fractional)
Rb 0.7500 0.7500 0.7500  12 F 3.08
Rb 0.2500 0.2500 0.2500  12 F 3.08
Li 0.5000 0.5000 0.5000  6 F 2.08
Pr 0.0000 0.0000 0.0000  6 F 2.27
F 0.7386 0.2614 0.2614  1 Li 2.08, 1 Pr 2.27
F 0.7386 0.7386 0.2614  1 Li 2.08, 1 Pr 2.27
F 0.2614 0.7386 0.7386  1 Li 2.08, 1 Pr 2.27
F 0.7386 0.2614 0.7386  1 Li 2.08, 1 Pr 2.27
F 0.2614 0.7386 0.2614  1 Li 2.08, 1 Pr 2.27
F 0.2614 0.2614 0.7386  1 Li 2.08, 1 Pr 2.27



(5)
The following is a PBEsol calculation of a relaxed OsAu2Br crystal, from the Alexandria database.

Results
As for the polymorph energy (0 for the lowest one): 0.491 eV/atom. The uncorrected energy is -4.335 eV/atom. Its space group is P4/mmm.

a = 3.9479 Å, b = 3.9479 Å, c = 4.3925 Å
α = 90.00°, β = 90.00°, γ = 90.00°
With the nearest neighbours (Å) after each atom.
Element x y z (fractional)
Os 0.0000 0.0000 0.5000  4 Br 2.79, 8 Au 2.95
Au 0.0000 0.5000 0.0000  4 Au 2.79, 4 Br 2.95, 4 Os 2.95
Au 0.5000 0.0000 0.0000  4 Au 2.79, 4 Os 2.95, 4 Br 2.95
Br 0.5000 0.5000 0.5000  4 Os 2.79, 8 Au 2.95



(6)
The following is a PBEsol calculation of a relaxed LaSn2S2 crystal, from the Alexandria database.

Results
The uncorrected energy is -5.048 eV/atom. Its space group is I4/mmm.

a = 5.3681 Å, b = 5.8632 Å, c = 5.3681 Å
α = 62.76°, β = 90.00°, γ = 117.24°
With the nearest neighbours (Å) after each atom.
Element x y z (fractional)
S 0.7500 0.5000 0.7500  4 Sn 2.81
S 0.2500 0.5000 0.2500  4 Sn 2.81
Sn 0.6558 0.3116 0.3442  1 Sn 2.78, 4 S 2.81, 1 La 3.08
Sn 0.3442 0.6884 0.6558  1 Sn 2.78, 4 S 2.81, 1 La 3.08
La 0.0000 0.0000 0.0000  2 Sn 3.08



(7)
The following is a PBEsol calculation of a relaxed CeAl10Ru2 crystal, from the Alexandria database.

Results
The uncorrected energy is -5.712 eV/atom. Its space group is Cmcm. The calculation puts the formation enthalpy at 0 K at -0.492 eV per atom.

a = 6.8146 Å, b = 6.8146 Å, c = 9.0819 Å
α = 90.00°, β = 90.00°, γ = 97.36°
With the nearest neighbours (Å) after each atom.
Element x y z (fractional)
Ru 0.5000 0.0000 0.0000  10 Al 2.57-2.74
Ru 0.5000 0.0000 0.5000  10 Al 2.57-2.74
Ru 0.0000 0.5000 0.0000  10 Al 2.57-2.74
Ru 0.0000 0.5000 0.5000  10 Al 2.57-2.74
Al 0.5905 0.8612 0.2500  2 Ru 2.57, 8 Al 2.65-2.82
Al 0.7795 0.5204 0.2500  7 Al 2.65-2.89, 2 Ru 2.74
Al 0.1582 0.8418 0.8992  2 Ru 2.60, 8 Al 2.63-2.89
Al 0.4095 0.1388 0.7500  2 Ru 2.57, 8 Al 2.65-2.82
Al 0.6235 0.3765 0.9491  6 Al 2.63-2.82, 2 Ru 2.64
Al 0.8418 0.1582 0.3992  2 Ru 2.60, 8 Al 2.63-2.89
Al 0.7754 0.7754 0.0000  2 Ru 2.57, 8 Al 2.70-2.86
Al 0.8612 0.5905 0.7500  2 Ru 2.57, 8 Al 2.65-2.82
Al 0.8418 0.1582 0.1008  2 Ru 2.60, 8 Al 2.63-2.89
Al 0.2205 0.4796 0.7500  7 Al 2.65-2.89, 2 Ru 2.74
Al 0.1582 0.8418 0.6008  2 Ru 2.60, 8 Al 2.63-2.89
Al 0.7754 0.7754 0.5000  2 Ru 2.57, 8 Al 2.70-2.86
Al 0.4796 0.2205 0.2500  7 Al 2.65-2.89, 2 Ru 2.74
Al 0.6235 0.3765 0.5509  6 Al 2.63-2.82, 2 Ru 2.64
Al 0.2246 0.2246 0.5000  2 Ru 2.57, 8 Al 2.70-2.86
Al 0.3765 0.6235 0.4491  6 Al 2.63-2.82, 2 Ru 2.64
Al 0.1388 0.4095 0.2500  2 Ru 2.57, 8 Al 2.65-2.82
Al 0.5204 0.7795 0.7500  7 Al 2.65-2.89, 2 Ru 2.74
Al 0.3765 0.6235 0.0509  6 Al 2.63-2.82, 2 Ru 2.64
Al 0.2246 0.2246 0.0000  2 Ru 2.57, 8 Al 2.70-2.86
Ce 0.8763 0.1237 0.7500  14 Al 3.15-3.29, 4 Ru 3.45
Ce 0.1237 0.8763 0.2500  14 Al 3.15-3.29, 4 Ru 3.45



(8)
The following is a PBEsol calculation of a relaxed SrTe2WC crystal, from the Alexandria database.

Results
The uncorrected energy is -6.038 eV/atom. Its space group is P4/mmm.

a = 4.0332 Å, b = 5.1913 Å, c = 5.1913 Å
α = 90.00°, β = 90.00°, γ = 90.00°
With the nearest neighbours (Å) after each atom.
Element x y z (fractional)
Sr 0.5000 0.5000 0.5000  8 Te 3.29, 4 W 3.67
C 0.0000 0.0000 0.0000  2 W 2.02
Te 0.0000 0.0000 0.5000  2 C 2.60
Te 0.0000 0.5000 0.0000  2 C 2.60
W 0.5000 0.0000 0.0000  2 C 2.02



Number 1: V 76 Å³ per cell, total magnetic moment 0.0 μB/f.u.. Number 2: V 59 Å³ per cell, total magnetic moment 0.0 μB/f.u.. Number 3: V 53 Å³ per cell, total magnetic moment 1.1 μB/f.u.. Number 4: V 164 Å³ per cell, total magnetic moment 0.0 μB/f.u.. Number 5: V 68 Å³ per cell, total magnetic moment 0.0 μB/f.u.. Number 6: V 129 Å³ per cell, total magnetic moment 0.0 μB/f.u.. Number 7: V 418 Å³ per cell, total magnetic moment 0.3 μB/f.u.. Number 8: V 109 Å³ per cell, total magnetic moment 1.0 μB/f.u..